<i>
{"formula": "Na2LiPb2", "functional": "GGA-PBE", "state": "relaxed", "mass_density_g_cm3": 5.33, "crystal_system": "tetragonal", "n_ef_per_ev_fu": 1.97, "lattice_angstrom": [[-2.1621, 2.1621, 7.7909], [2.1621, -2.1621, 7.7909], [2.1621, 2.1621, -7.7909]], "species": ["Na", "Na", "Li", "Pb", "Pb"], "frac_coords": [[0.2500, 0.7500, 0.5000], [0.7500, 0.2500, 0.5000], [0.0000, 0.0000, 0.0000], [0.4051, 0.4051, 0.0000], [0.5949, 0.5949, 0.0000]]}

=====

<ii>
{"formula": "Na2LiPb2", "functional": "GGA-PBE", "state": "relaxed", "mass_density_g_cm3": 5.21, "crystal_system": "orthorhombic", "n_ef_per_ev_fu": 3.83, "lattice_angstrom": [[-2.5125, 3.0584, 4.8421], [2.5125, -3.0584, 4.8421], [2.5125, 3.0584, -4.8421]], "species": ["Na", "Na", "Li", "Pb", "Pb"], "frac_coords": [[0.1876, 0.1876, 0.0000], [0.8124, 0.8124, 0.0000], [0.5000, 0.0000, 0.5000], [0.2498, 0.5000, 0.7498], [0.7502, 0.5000, 0.2502]]}

=====

<iii>
{"formula": "Na2LiPb2", "functional": "GGA-PBE", "state": "relaxed", "mass_density_g_cm3": 5.78, "crystal_system": "monoclinic", "n_ef_per_ev_fu": 2.05, "lattice_angstrom": [[5.9971, -2.8223, 0.0000], [5.9971, 2.8223, 0.0000], [-2.9458, 0.0000, 7.9344]], "species": ["Na", "Na", "Na", "Na", "Li", "Li", "Pb", "Pb", "Pb", "Pb"], "frac_coords": [[0.0354, 0.3583, 0.1485], [0.3583, 0.0354, 0.6485], [0.6417, 0.9646, 0.3515], [0.9646, 0.6417, 0.8515], [0.1947, 0.8053, 0.2500], [0.8053, 0.1947, 0.7500], [0.2348, 0.5859, 0.5525], [0.4141, 0.7652, 0.9475], [0.5859, 0.2348, 0.0525], [0.7652, 0.4141, 0.4475]]}

=====

<iv>
{"formula": "Na2LiPb2", "functional": "GGA-PBE", "state": "relaxed", "mass_density_g_cm3": 5.36, "crystal_system": "tetragonal", "n_ef_per_ev_fu": 2.31, "lattice_angstrom": [[8.8405, 0.0000, 0.0000], [0.0000, 8.8405, 0.0000], [0.0000, 0.0000, 3.7031]], "species": ["Na", "Na", "Na", "Na", "Li", "Li", "Pb", "Pb", "Pb", "Pb"], "frac_coords": [[0.1668, 0.3332, 0.0000], [0.3332, 0.8332, 0.0000], [0.6668, 0.1668, 0.0000], [0.8332, 0.6668, 0.0000], [0.0000, 0.0000, 0.0000], [0.5000, 0.5000, 0.0000], [0.1304, 0.6304, 0.5000], [0.3696, 0.1304, 0.5000], [0.6304, 0.8696, 0.5000], [0.8696, 0.3696, 0.5000]]}

=====

Least stable = <i>

=====

<i>
{"formula": "NaLi4Pb2", "functional": "GGA-PBE", "state": "relaxed", "mass_density_g_cm3": 4.76, "crystal_system": "tetragonal", "n_ef_per_ev_fu": 3.02, "lattice_angstrom": [[-2.5699, 2.5699, 6.1463], [2.5699, -2.5699, 6.1463], [2.5699, 2.5699, -6.1463]], "species": ["Na", "Li", "Li", "Li", "Li", "Pb", "Pb"], "frac_coords": [[0.0000, 0.0000, 0.0000], [0.0000, 0.5000, 0.5000], [0.2500, 0.7500, 0.5000], [0.5000, 0.0000, 0.5000], [0.7500, 0.2500, 0.5000], [0.3723, 0.3723, 0.0000], [0.6277, 0.6277, 0.0000]]}

=====

<ii>
{"formula": "NaLi4Pb2", "functional": "GGA-PBE", "state": "relaxed", "mass_density_g_cm3": 5.07, "crystal_system": "monoclinic", "n_ef_per_ev_fu": 2.01, "lattice_angstrom": [[5.4837, 0.0000, 0.0000], [0.0000, 6.0196, 0.0000], [-2.1293, 0.0000, 9.2380]], "species": ["Na", "Na", "Li", "Li", "Li", "Li", "Li", "Li", "Li", "Li", "Pb", "Pb", "Pb", "Pb"], "frac_coords": [[0.0107, 0.2500, 0.3073], [0.9893, 0.7500, 0.6927], [0.1593, 0.2500, 0.6294], [0.3518, 0.7500, 0.9646], [0.3927, 0.5110, 0.2204], [0.3927, 0.9890, 0.2204], [0.6073, 0.0110, 0.7796], [0.6073, 0.4890, 0.7796], [0.6482, 0.2500, 0.0354], [0.8407, 0.7500, 0.3706], [0.1181, 0.2500, 0.9411], [0.3817, 0.7500, 0.5025], [0.6183, 0.2500, 0.4975], [0.8819, 0.7500, 0.0589]]}

=====

Least stable = <i>

=====

<i>
{"formula": "NaLiPb", "functional": "GGA-PBE", "state": "relaxed", "mass_density_g_cm3": 5.37, "crystal_system": "monoclinic", "n_ef_per_ev_fu": 0.87, "lattice_angstrom": [[3.3166, 0.0000, 0.0000], [0.0000, 4.8792, 0.0000], [-1.4506, 0.0000, 9.0638]], "species": ["Na", "Na", "Li", "Li", "Pb", "Pb"], "frac_coords": [[0.0000, 0.0000, 0.0000], [0.3888, 0.5000, 0.8067], [0.1709, 0.0000, 0.3263], [0.2245, 0.5000, 0.4799], [0.6024, 0.5000, 0.1922], [0.7903, 0.0000, 0.6144]]}

=====

<ii>
{"formula": "NaLiPb", "functional": "GGA-PBE", "state": "relaxed", "mass_density_g_cm3": 4.70, "crystal_system": "tetragonal", "n_ef_per_ev_fu": 0.85, "lattice_angstrom": [[-2.3747, 2.3747, 7.4280], [2.3747, -2.3747, 7.4280], [2.3747, 2.3747, -7.4280]], "species": ["Na", "Na", "Li", "Li", "Pb", "Pb"], "frac_coords": [[0.1706, 0.1706, 0.0000], [0.8294, 0.8294, 0.0000], [0.0000, 0.5000, 0.5000], [0.5000, 0.0000, 0.5000], [0.3937, 0.3937, 0.0000], [0.6063, 0.6063, 0.0000]]}

=====

<iii>
{"formula": "NaLiPb", "functional": "GGA-PBE", "state": "relaxed", "mass_density_g_cm3": 5.20, "crystal_system": "tetragonal", "n_ef_per_ev_fu": 0.61, "lattice_angstrom": [[-1.8714, 1.8714, 5.4029], [1.8714, -1.8714, 5.4029], [1.8714, 1.8714, -5.4029]], "species": ["Na", "Li", "Pb"], "frac_coords": [[0.0000, 0.0000, 0.0000], [0.3162, 0.3162, 0.0000], [0.6853, 0.6853, 0.0000]]}

=====

Least stable = <ii>

=====

<i>
{"formula": "Na3LiPb", "functional": "GGA-PBE", "state": "relaxed", "mass_density_g_cm3": 3.47, "crystal_system": "triclinic", "n_ef_per_ev_fu": 1.23, "lattice_angstrom": [[5.3232, 0.0000, 0.0000], [2.6314, 4.6422, 0.0000], [2.5983, 1.4682, 5.4813]], "species": ["Na", "Na", "Na", "Li", "Pb"], "frac_coords": [[0.0000, 0.0000, 0.0000], [0.1869, 0.1880, 0.4384], [0.5905, 0.5925, 0.2293], [0.4123, 0.4132, 0.7650], [0.7856, 0.7869, 0.6426]]}

=====

<ii>
{"formula": "Na3LiPb", "functional": "GGA-PBE", "state": "relaxed", "mass_density_g_cm3": 2.22, "crystal_system": "cubic", "n_ef_per_ev_fu": 2.66, "lattice_angstrom": [[5.9617, 0.0000, 0.0000], [0.0000, 5.9617, 0.0000], [0.0000, 0.0000, 5.9617]], "species": ["Na", "Na", "Na", "Li", "Pb"], "frac_coords": [[0.0000, 0.0000, 0.5000], [0.0000, 0.5000, 0.0000], [0.5000, 0.0000, 0.0000], [0.5000, 0.5000, 0.5000], [0.0000, 0.0000, 0.0000]]}

=====

Least stable = <ii>